! PBE ZnB2PO6, relaxed; values from VASP
! Raw formation energy: -1.8106 eV/atom
! Total DFT energy (no corrections): -6.789 eV/atom
&SYSTEM
  ibrav = 0, nat = 20, ntyp = 4
/
ATOMIC_SPECIES
Zn 65.41 Zn.upf
O 16.00 O.upf
B 10.81 B.upf
P 30.97 P.upf
ATOMIC_POSITIONS angstrom
Zn 5.361 1.854 6.576
Zn 2.910 6.458 2.050
O 4.294 2.298 4.610
O 5.083 5.772 6.124
O 6.138 6.921 3.031
O 3.687 2.728 6.982
O 2.134 1.390 5.595
O 1.843 4.477 2.421
O 5.640 2.450 2.677
O 2.632 5.862 5.949
O 4.585 5.584 1.643
O 3.978 6.014 4.016
O 3.189 2.539 2.501
O 6.429 3.835 6.205
B 3.909 5.863 5.401
B 6.360 5.225 6.105
B 1.911 3.087 2.521
B 4.363 2.449 3.225
P 5.361 5.541 3.023
P 2.910 2.771 5.603
CELL_PARAMETERS angstrom
4.902 0.089 0.093
1.685 6.999 1.484
1.685 1.223 7.049


! PBE ZrBP2O, relaxed; values from VASP
! Raw formation energy: 0.5702 eV/atom
! Total DFT energy (no corrections): -5.631 eV/atom
! Relative energy among the computed polymorphs: 0.586 eV/atom
&SYSTEM
  ibrav = 0, nat = 5, ntyp = 4
/
ATOMIC_SPECIES
Zr 91.22 Zr.upf
O 16.00 O.upf
B 10.81 B.upf
P 30.97 P.upf
ATOMIC_POSITIONS angstrom
Zr 0.000 0.000 0.000
O -1.827 0.762 0.192
B -3.216 -2.622 0.396
P -0.492 -1.665 1.922
P -0.897 -1.719 -1.718
CELL_PARAMETERS angstrom
-1.793 -3.438 -3.437
-0.984 -3.330 3.845
-3.655 1.523 0.384


> Which formula does entry 2 have?

ZrBP2O